This record from Alexandria describes a relaxed Dy5Al2Tl2 crystal. The functional is PBE.

Summary:
ΔE_f = -325 meV per atom

abc: 9.0058 9.0058 7.7781
angles: 90.00 90.00 52.03
Atoms (fractional coordinates):
Dy1 0.0000 0.0000 0.0000
Dy2 0.0548 0.6823 0.6773
Dy3 0.1823 0.5548 0.1773
Dy4 0.3177 0.9452 0.6773
Dy5 0.4452 0.8177 0.1773
Dy6 0.5000 0.5000 0.5000
Dy7 0.5548 0.1823 0.8227
Dy8 0.6823 0.0548 0.3227
Dy9 0.8177 0.4452 0.8227
Dy10 0.9452 0.3177 0.3227
Al1 0.1174 0.8826 0.3811
Al2 0.3826 0.6174 0.8811
Al3 0.6174 0.3826 0.1189
Al4 0.8826 0.1174 0.6189
Tl1 0.2188 0.2188 0.0000
Tl2 0.2812 0.2812 0.5000
Tl3 0.7188 0.7188 0.5000
Tl4 0.7812 0.7812 0.0000

---

This record from Alexandria describes a relaxed Dy3Al2Tl crystal. The functional is PBE.

Summary:
ΔE_f = -377 meV per atom

abc: 3.6286 3.6286 11.2748
angles: 90.00 90.00 90.00
Atoms (fractional coordinates):
Dy1 0.0000 0.0000 0.0000
Dy2 0.0000 0.0000 0.3179
Dy3 0.0000 0.0000 0.6821
Al1 0.5000 0.5000 0.1588
Al2 0.5000 0.5000 0.8412
Tl1 0.5000 0.5000 0.5000

---

This record from Alexandria describes a relaxed Dy4Al2Tl crystal. The functional is PBE.

Summary:
ΔE_f = -107 meV per atom
energy above the lowest structure with this stoichiometry = 108 meV/atom

abc: 7.1341 6.6735 8.6852
angles: 90.00 111.40 90.00
Atoms (fractional coordinates):
Dy1 0.0435 0.2500 0.4090
Dy2 0.0920 0.7500 0.2603
Dy3 0.4009 0.0131 0.7661
Dy4 0.4009 0.4869 0.7661
Dy5 0.5991 0.5131 0.2339
Dy6 0.5991 0.9869 0.2339
Dy7 0.9080 0.2500 0.7397
Dy8 0.9565 0.7500 0.5910
Al1 0.2154 0.7500 0.9634
Al2 0.4921 0.2500 0.4788
Al3 0.5079 0.7500 0.5212
Al4 0.7846 0.2500 0.0366
Tl1 0.2097 0.2500 0.0990
Tl2 0.7903 0.7500 0.9010

---

This record from Alexandria describes a relaxed DyAlTl crystal. The functional is PBE.

Summary:
ΔE_f = -270 meV per atom
energy above the lowest structure with this stoichiometry = 0 meV/atom

abc: 4.7869 4.7869 3.5522
angles: 90.00 90.00 120.00
Atoms (fractional coordinates):
Dy1 0.0000 0.0000 0.0000
Al1 0.3333 0.6667 0.5000
Tl1 0.6667 0.3333 0.5000

---

This record from Alexandria describes a relaxed Dy7Al2Tl2 crystal. The functional is PBE.

Summary:
ΔE_f = 9 meV per atom

abc: 6.6999 6.6999 7.8485
angles: 90.00 90.00 110.00
Atoms (fractional coordinates):
Dy1 0.0000 0.0000 0.0000
Dy2 0.0000 0.5000 0.2953
Dy3 0.0000 0.5000 0.7047
Dy4 0.5000 0.0000 0.2953
Dy5 0.5000 0.0000 0.7047
Dy6 0.5000 0.5000 0.2806
Dy7 0.5000 0.5000 0.7194
Al1 0.1690 0.1690 0.5000
Al2 0.8310 0.8310 0.5000
Tl1 0.2972 0.7028 0.0000
Tl2 0.7028 0.2972 0.0000

---

This record from Alexandria describes a relaxed Dy4AlTl2 crystal. The functional is PBE.

Summary:
ΔE_f = -232 meV per atom
energy above the lowest structure with this stoichiometry = 0 meV/atom

abc: 5.4982 6.6068 10.8038
angles: 90.00 100.38 90.00
Atoms (fractional coordinates):
Dy1 0.1305 0.2500 0.1234
Dy2 0.2349 0.7500 0.4407
Dy3 0.3285 0.0106 0.7342
Dy4 0.3285 0.4894 0.7342
Dy5 0.6715 0.5106 0.2658
Dy6 0.6715 0.9894 0.2658
Dy7 0.7651 0.2500 0.5593
Dy8 0.8695 0.7500 0.8766
Al1 0.1016 0.7500 0.1704
Al2 0.8984 0.2500 0.8296
Tl1 0.2186 0.2500 0.4242
Tl2 0.4212 0.7500 0.0046
Tl3 0.5788 0.2500 0.9954
Tl4 0.7814 0.7500 0.5758